(1)
GGA-PBEsol Be2TcMo, relaxed; space group = I4/mmm (139); formation energy from the elements = 0.1093 eV per atom
1.0
-1.877 1.877 3.243
1.877 -1.877 3.243
1.877 1.877 -3.243
Be Tc Mo
2 1 1
direct
0.250 0.750 0.500 Be
0.750 0.250 0.500 Be
0.000 0.000 0.000 Tc
0.500 0.500 0.000 Mo

(2)
GGA-PBEsol BeTeMo2, relaxed; space group = I-4m2 (119); raw formation energy = 462 meV per atom
1.0
-1.952 1.952 3.987
1.952 -1.952 3.987
1.952 1.952 -3.987
Be Te Mo
1 1 2
direct
0.000 0.000 0.000 Be
0.250 0.750 0.500 Te
0.500 0.500 0.000 Mo
0.750 0.250 0.500 Mo

Asked for total magnetic moment across the records above, the calculation gives 0.00 0.00 μB per formula unit in order.